GGA-PBEsol ScGa, optimized geometry; formation energy from the elements = -1.292 eV/f.u.; space-group type = Cmcm, No. 63; density of states at the Fermi level = 0.857 states/eV per atom
1.0
3.836 0.000 0.000
0.000 3.977 0.000
0.000 1.988 5.069
Ga Sc
2 2
Cartesian
0.959 1.988 0.823 Ga
2.877 3.977 4.246 Ga
2.877 3.977 1.416 Sc
0.959 1.988 3.653 Sc



GGA-PBEsol Sc3Ga, optimized geometry; formation energy from the elements = -1.436 eV/f.u.; space-group type = P6_3/mmc, No. 194; density of states at the Fermi level = 1.378 states/eV per atom
1.0
4.940 0.000 0.000
0.000 6.149 0.000
0.000 -3.075 5.326
Ga Sc
2 6
Cartesian
1.235 0.000 3.550 Ga
3.705 3.075 1.775 Ga
3.705 1.488 4.409 Sc
1.235 4.563 0.916 Sc
1.235 1.587 0.916 Sc
1.235 3.075 3.493 Sc
3.705 0.000 1.832 Sc
3.705 -1.488 4.409 Sc



GGA-PBEsol ScGa3, optimized geometry; formation energy from the elements = -2.234 eV/f.u.; space-group type = Pm-3m, No. 221; density of states at the Fermi level = 0.440 states/eV per atom
1.0
-1.640 -2.854 2.353
2.285 -2.805 -1.811
2.909 0.594 2.749
Ga Sc
3 1
Cartesian
0.322 -2.830 0.271 Ga
2.597 -1.106 0.469 Ga
0.635 -1.130 2.551 Ga
0.000 0.000 0.000 Sc



GGA-PBEsol ScZnGaSn2, optimized geometry; formation energy from the elements = 2.042 eV/f.u.; space-group type = P4/mmm, No. 123; density of states at the Fermi level = 0.580 states/eV per atom
1.0
5.095 0.000 0.000
0.000 5.102 0.000
0.000 0.000 5.102
Zn Sn Ga Sc
1 2 1 1
Cartesian
2.547 2.551 2.551 Zn
0.000 0.000 2.551 Sn
0.000 2.551 0.000 Sn
0.000 0.000 0.000 Ga
2.547 0.000 0.000 Sc



GGA-PBEsol Sc2TaGa2, optimized geometry; formation energy from the elements = 0.956 eV/f.u.; space-group type = I4/mmm, No. 139; density of states at the Fermi level = 1.108 states/eV per atom
1.0
3.435 0.000 0.000
0.000 3.435 0.000
-1.718 -1.718 8.586
Ga Ta Sc
2 1 2
Cartesian
0.000 1.718 4.293 Ga
1.718 0.000 4.293 Ga
0.000 0.000 0.000 Ta
0.000 0.000 6.820 Sc
1.718 1.718 1.766 Sc



GGA-PBEsol ScGa2Tc2, optimized geometry; formation energy from the elements = -1.566 eV/f.u.; space-group type = P4/mbm, No. 127; density of states at the Fermi level = 0.731 states/eV per atom
1.0
3.235 0.000 0.000
0.000 6.855 0.000
0.000 0.000 6.855
Ga Sc Tc
4 2 4
Cartesian
0.000 2.540 5.967 Ga
0.000 5.967 4.315 Ga
0.000 4.315 0.888 Ga
0.000 0.888 2.540 Ga
0.000 3.428 3.428 Sc
0.000 0.000 0.000 Sc
1.617 5.710 2.283 Tc
1.617 2.283 1.145 Tc
1.617 4.572 5.710 Tc
1.617 1.145 4.572 Tc



GGA-PBEsol ScZn2GaTe, optimized geometry; space-group type = P4/mmm, No. 123; E_form (uncorrected) = 0.675 eV/atom; density of states at the Fermi level = 0.665 states/eV per atom
1.0
5.105 0.000 0.000
0.000 5.105 0.000
0.000 0.000 5.252
Zn Sc Ga Te
2 1 1 1
Cartesian
0.000 2.552 0.000 Zn
2.552 0.000 0.000 Zn
0.000 0.000 0.000 Sc
0.000 0.000 2.626 Ga
2.552 2.552 2.626 Te



GGA-PBEsol ScTi2Ga4, optimized geometry; formation energy from the elements = -4.019 eV/f.u.; space-group type = I4/mmm, No. 139; density of states at the Fermi level = 0.774 states/eV per atom
1.0
5.341 -0.009 0.000
-2.647 4.639 0.000
-1.347 -2.315 4.621
Ga Sc Ti
4 1 2
Cartesian
1.347 2.315 1.845 Ga
0.000 0.000 2.775 Ga
-0.248 3.243 0.000 Ga
2.942 1.387 0.000 Ga
0.000 0.000 0.000 Sc
2.670 -0.004 2.310 Ti
-1.324 2.319 2.310 Ti



GGA-PBEsol Sc2TlGa2, optimized geometry; formation energy from the elements = -2.494 eV/f.u.; space-group type = P4/mbm, No. 127; density of states at the Fermi level = 0.429 states/eV per atom
1.0
-1.730 -2.743 -0.968
2.477 0.939 -7.089
6.014 -4.332 1.528
Sc Tl Ga
4 2 4
Cartesian
3.091 -1.988 -5.808 Sc
1.011 -1.851 -2.477 Sc
5.751 -4.285 -4.052 Sc
3.671 -4.148 -0.721 Sc
4.246 -1.697 -2.780 Tl
0.000 0.000 0.000 Tl
6.261 -3.466 -1.367 Ga
2.231 0.073 -4.194 Ga
5.898 -1.843 -5.318 Ga
2.594 -1.550 -0.242 Ga



GGA-PBEsol Sc2TlGa, optimized geometry; formation energy from the elements = -1.810 eV/f.u.; space-group type = Fm-3m, No. 225; density of states at the Fermi level = 0.587 states/eV per atom
1.0
-4.004 0.252 2.738
-3.389 -3.464 -0.329
-0.639 -3.128 3.661
Sc Tl Ga
2 1 1
Cartesian
-6.025 -4.755 4.553 Sc
-2.008 -1.585 1.518 Sc
-4.016 -3.170 3.035 Tl
0.000 0.000 0.000 Ga



GGA-PBEsol ZrScTlGa2, optimized geometry; formation energy from the elements = 3.325 eV/f.u.; space-group type = P4/mmm, No. 123; density of states at the Fermi level = 0.914 states/eV per atom
1.0
-1.382 2.780 -3.747
-4.576 -1.568 0.525
-0.964 3.901 3.250
Tl Ga Zr Sc
1 2 1 1
Cartesian
-0.482 1.950 1.625 Tl
-0.691 1.390 -1.873 Ga
-2.288 -0.784 0.262 Ga
-3.461 2.556 0.014 Zr
0.000 0.000 0.000 Sc



Question: What is the formula in the seventh record?
Answer: ScZn2GaTe



Question: density of states at the Fermi level of number 7 (ScZn2GaTe)?
Answer: 0.665 states/eV per atom



Question: What is the density of states at the Fermi level in the second record?
Answer: 1.378 states/eV per atom



Question: Look up the density of states at the Fermi level of the eleventh one.
Answer: 0.914 states/eV per atom